1.
Compound: Tb2PrNd6Dy3
Source: Alexandria
Functional: PBE
Structure: optimized geometry

Lattice parameters (Å, degrees): 6.298 6.298 11.967 95.02 95.02 120.00
Fractional positions:
1 Pr 0.000 0.000 0.000
2 Tb 0.667 0.333 0.000
3 Nd 0.581 0.916 0.748
4 Nd 0.750 0.750 0.252
5 Nd 0.084 0.419 0.252
6 Tb 0.333 0.667 0.000
7 Nd 0.250 0.250 0.748
8 Dy 0.500 0.500 0.500
9 Nd 0.916 0.581 0.748
10 Nd 0.419 0.084 0.252
11 Dy 0.167 0.833 0.500
12 Dy 0.833 0.167 0.500

Values from the calculation:
ΔH_f (0 K) = 0.013 eV per atom
DOS at the Fermi energy = 15.10 states/eV/cell
space group = C2/m, No. 12
total moment = 0.00 μB/cell
theoretical density = 7.43 g/cm³


2.
Compound: Tb2PrNd4Dy
Source: Alexandria
Functional: PBE
Structure: optimized geometry

Lattice parameters (Å, degrees): 3.650 6.292 12.039 79.77 90.00 90.00
Fractional positions:
1 Dy 0.000 0.500 0.500
2 Tb 0.000 0.000 0.000
3 Nd 0.500 0.250 0.748
4 Nd 0.000 0.248 0.253
5 Nd 0.500 0.750 0.252
6 Tb 0.500 0.000 0.500
7 Nd 0.000 0.752 0.747
8 Pr 0.500 0.500 0.000

Values from the calculation:
ΔH_f (0 K) = 0.016 eV per atom
DOS at the Fermi energy = 11.55 states/eV/cell
space group = P2/m, No. 10
total moment = 0.00 μB/cell
theoretical density = 7.31 g/cm³


3.
Compound: TbPr3Nd2Dy6
Source: Alexandria
Functional: PBE
Structure: optimized geometry

Lattice parameters (Å, degrees): 6.266 6.266 11.879 95.03 95.03 119.99
Fractional positions:
1 Dy 0.750 0.750 0.248
2 Dy 0.250 0.250 0.752
3 Nd 0.666 0.334 0.000
4 Dy 0.416 0.083 0.248
5 Pr 0.500 0.500 0.500
6 Dy 0.917 0.584 0.752
7 Nd 0.334 0.666 0.000
8 Pr 0.167 0.833 0.500
9 Dy 0.584 0.917 0.752
10 Dy 0.083 0.416 0.248
11 Pr 0.833 0.167 0.500
12 Tb 0.000 0.000 0.000

Values from the calculation:
ΔH_f (0 K) = 0.013 eV per atom
DOS at the Fermi energy = 14.03 states/eV/cell
space group = C2/m, No. 12
total moment = 0.00 μB/cell
theoretical density = 7.70 g/cm³


4.
Compound: Tb2Pr2NdDy
Source: Alexandria
Functional: PBE
Structure: optimized geometry

Lattice parameters (Å, degrees): 5.744 7.066 9.959 90.00 90.00 90.00
Fractional positions:
1 Dy 0.500 0.757 0.336
2 Tb 0.000 0.258 0.834
3 Pr 0.000 0.758 0.830
4 Pr 0.500 0.508 0.000
5 Pr 0.000 0.258 0.170
6 Tb 0.000 0.758 0.166
7 Pr 0.500 0.008 0.000
8 Nd 0.000 0.008 0.500
9 Nd 0.000 0.508 0.500
10 Tb 0.500 0.758 0.667
11 Dy 0.500 0.257 0.664
12 Tb 0.500 0.258 0.333

Values from the calculation:
ΔH_f (0 K) = 0.063 eV per atom
DOS at the Fermi energy = 17.50 states/eV/cell
space group = Pmma, No. 51
total moment = 0.00 μB/cell
theoretical density = 7.45 g/cm³


5.
Compound: TbPr2Nd5Dy
Source: Alexandria
Functional: PBE
Structure: optimized geometry

Lattice parameters (Å, degrees): 8.722 8.722 10.342 114.94 114.94 90.00
Fractional positions:
1 Pr 0.621 0.121 0.000
2 Nd 0.928 0.428 0.286
3 Nd 0.072 0.572 0.714
4 Nd 0.358 0.858 0.286
5 Pr 0.379 0.879 0.000
6 Nd 0.642 0.142 0.714
7 Nd 0.500 0.500 0.000
8 Dy 0.750 0.250 0.500
9 Pr 0.879 0.621 0.000
10 Tb 0.250 0.250 0.500
11 Nd 0.858 0.928 0.286
12 Nd 0.572 0.642 0.714
13 Pr 0.121 0.379 0.000
14 Dy 0.250 0.750 0.500
15 Nd 0.428 0.358 0.286
16 Nd 0.142 0.072 0.714
17 Nd 0.000 0.000 0.000
18 Tb 0.750 0.750 0.500

Values from the calculation:
ΔH_f (0 K) = 0.268 eV per atom
DOS at the Fermi energy = 28.00 states/eV/cell
space group = I4/mcm, No. 140
total moment = 0.00 μB/cell
theoretical density = 6.96 g/cm³


6.
Compound: Tb2PrNd6Dy
Source: Alexandria
Functional: PBE
Structure: optimized geometry

Lattice parameters (Å, degrees): 9.762 8.981 8.981 117.48 93.85 93.85
Fractional positions:
1 Dy 0.250 0.410 0.590
2 Nd 0.314 0.989 0.436
3 Tb 0.453 0.799 0.701
4 Pr 0.750 0.026 0.974
5 Nd 0.186 0.564 0.011
6 Nd 0.619 0.489 0.706
7 Dy 0.750 0.590 0.410
8 Nd 0.445 0.244 0.884
9 Nd 0.119 0.706 0.489
10 Nd 0.945 0.884 0.244
11 Pr 0.250 0.974 0.026
12 Nd 0.814 0.436 0.989
13 Nd 0.555 0.756 0.116
14 Nd 0.055 0.116 0.756
15 Nd 0.381 0.511 0.294
16 Nd 0.881 0.294 0.511
17 Tb 0.047 0.299 0.201
18 Tb 0.953 0.701 0.799
19 Tb 0.547 0.201 0.299
20 Nd 0.686 0.011 0.564

Values from the calculation:
ΔH_f (0 K) = 0.113 eV per atom
DOS at the Fermi energy = 28.74 states/eV/cell
space group = C2/c, No. 15
total moment = 0.00 μB/cell
theoretical density = 7.13 g/cm³


7.
Compound: TbPr6NdDy2
Source: Alexandria
Functional: PBE
Structure: optimized geometry

Lattice parameters (Å, degrees): 9.829 9.018 9.018 117.63 94.25 94.25
Fractional positions:
1 Pr 0.185 0.566 0.014
2 Dy 0.954 0.709 0.804
3 Dy 0.546 0.196 0.291
4 Nd 0.250 0.407 0.593
5 Pr 0.945 0.889 0.240
6 Tb 0.750 0.029 0.971
7 Pr 0.055 0.111 0.760
8 Pr 0.620 0.491 0.705
9 Pr 0.380 0.509 0.295
10 Dy 0.046 0.291 0.196
11 Pr 0.445 0.240 0.889
12 Dy 0.454 0.804 0.709
13 Pr 0.315 0.986 0.434
14 Pr 0.685 0.014 0.566
15 Pr 0.555 0.760 0.111
16 Nd 0.750 0.593 0.407
17 Tb 0.250 0.971 0.029
18 Pr 0.880 0.295 0.509
19 Pr 0.120 0.705 0.491
20 Pr 0.815 0.434 0.986

Values from the calculation:
ΔH_f (0 K) = 0.113 eV per atom
DOS at the Fermi energy = 30.01 states/eV/cell
space group = C2/c, No. 15
total moment = 0.00 μB/cell
theoretical density = 6.98 g/cm³


8.
Compound: Tb6Pr3NdDy2
Source: Alexandria
Functional: PBE
Structure: optimized geometry

Lattice parameters (Å, degrees): 6.252 6.252 11.923 95.00 95.00 119.98
Fractional positions:
1 Pr 0.833 0.167 0.500
2 Nd 0.000 0.000 0.000
3 Tb 0.748 0.748 0.247
4 Tb 0.252 0.252 0.753
5 Tb 0.584 0.917 0.753
6 Pr 0.167 0.833 0.500
7 Dy 0.333 0.667 0.000
8 Tb 0.083 0.416 0.247
9 Pr 0.500 0.500 0.500
10 Dy 0.667 0.333 0.000
11 Tb 0.917 0.584 0.753
12 Tb 0.416 0.083 0.247

Values from the calculation:
ΔH_f (0 K) = 0.016 eV per atom
DOS at the Fermi energy = 15.50 states/eV/cell
space group = C2/m, No. 12
total moment = 0.00 μB/cell
theoretical density = 7.71 g/cm³


9.
Compound: TbPr6Nd3Dy2
Source: Alexandria
Functional: PBE
Structure: optimized geometry

Lattice parameters (Å, degrees): 6.365 6.365 12.083 95.04 95.04 120.02
Fractional positions:
1 Pr 0.749 0.749 0.246
2 Nd 0.167 0.833 0.500
3 Nd 0.500 0.500 0.500
4 Dy 0.667 0.333 0.000
5 Pr 0.917 0.584 0.754
6 Pr 0.251 0.251 0.754
7 Pr 0.416 0.083 0.246
8 Nd 0.833 0.167 0.500
9 Dy 0.333 0.667 0.000
10 Pr 0.584 0.917 0.754
11 Pr 0.083 0.416 0.246
12 Tb 0.000 0.000 0.000

Values from the calculation:
ΔH_f (0 K) = 0.013 eV per atom
DOS at the Fermi energy = 16.43 states/eV/cell
space group = C2/m, No. 12
total moment = 0.00 μB/cell
theoretical density = 7.01 g/cm³


10.
Compound: Tb3Pr2Nd6Dy
Source: Alexandria
Functional: PBE
Structure: optimized geometry

Lattice parameters (Å, degrees): 6.323 6.323 12.054 95.02 95.02 120.00
Fractional positions:
1 Dy 0.000 0.000 0.000
2 Nd 0.248 0.248 0.747
3 Pr 0.667 0.333 0.000
4 Tb 0.500 0.500 0.500
5 Pr 0.333 0.667 0.000
6 Tb 0.166 0.834 0.500
7 Nd 0.752 0.752 0.253
8 Nd 0.916 0.584 0.747
9 Nd 0.584 0.916 0.747
10 Nd 0.084 0.416 0.253
11 Tb 0.834 0.166 0.500
12 Nd 0.416 0.084 0.253

Values from the calculation:
ΔH_f (0 K) = 0.013 eV per atom
DOS at the Fermi energy = 16.40 states/eV/cell
space group = C2/m, No. 12
total moment = 0.00 μB/cell
theoretical density = 7.22 g/cm³


11.
Compound: Tb3Pr6Nd2Dy
Source: Alexandria
Functional: PBE
Structure: optimized geometry

Lattice parameters (Å, degrees): 6.351 6.351 12.046 95.04 95.04 120.02
Fractional positions:
1 Pr 0.416 0.084 0.252
2 Tb 0.833 0.167 0.500
3 Pr 0.752 0.752 0.252
4 Pr 0.084 0.416 0.252
5 Tb 0.500 0.500 0.500
6 Pr 0.248 0.248 0.748
7 Dy 0.000 0.000 0.000
8 Pr 0.584 0.916 0.748
9 Nd 0.667 0.333 0.000
10 Tb 0.167 0.833 0.500
11 Nd 0.333 0.667 0.000
12 Pr 0.916 0.584 0.748

Values from the calculation:
ΔH_f (0 K) = 0.012 eV per atom
DOS at the Fermi energy = 15.70 states/eV/cell
space group = C2/m, No. 12
total moment = 0.00 μB/cell
theoretical density = 7.11 g/cm³


12.
Compound: TbPr2Nd2Dy
Source: Alexandria
Functional: PBE
Structure: optimized geometry

Lattice parameters (Å, degrees): 5.768 7.119 9.984 90.00 90.00 90.00
Fractional positions:
1 Nd 0.500 0.258 0.332
2 Pr 0.000 0.758 0.824
3 Pr 0.500 0.008 0.000
4 Pr 0.500 0.508 0.000
5 Nd 0.000 0.258 0.836
6 Tb 0.000 0.508 0.500
7 Tb 0.000 0.008 0.500
8 Dy 0.500 0.758 0.340
9 Nd 0.500 0.758 0.668
10 Dy 0.500 0.258 0.660
11 Pr 0.000 0.258 0.176
12 Nd 0.000 0.758 0.164

Values from the calculation:
ΔH_f (0 K) = 0.057 eV per atom
DOS at the Fermi energy = 17.49 states/eV/cell
space group = Pmma, No. 51
total moment = 0.00 μB/cell
theoretical density = 7.22 g/cm³


13.
Compound: TbPrNdDy
Source: Alexandria
Functional: PBE
Structure: optimized geometry

Lattice parameters (Å, degrees): 5.130 5.133 6.277 114.13 114.12 90.00
Fractional positions:
1 Dy 0.196 0.696 0.391
2 Pr 0.696 0.196 0.391
3 Nd 0.945 0.945 0.891
4 Tb 0.446 0.446 0.891

Values from the calculation:
ΔH_f (0 K) = 0.018 eV per atom
energy above the most stable polymorph in this dataset = 0 meV per atom
DOS at the Fermi energy = 5.80 states/eV/cell
space group = I-4m2, No. 119
total moment = 0.00 μB/cell
theoretical density = 7.47 g/cm³


14.
Compound: Tb6PrNdDy2
Source: Alexandria
Functional: PBE
Structure: optimized geometry

Lattice parameters (Å, degrees): 9.099 9.004 9.004 116.65 88.85 88.85
Fractional positions:
1 Tb 0.933 0.275 0.585
2 Tb 0.433 0.585 0.275
3 Tb 0.906 0.942 0.219
4 Tb 0.820 0.480 0.031
5 Nd 0.750 0.557 0.443
6 Tb 0.180 0.520 0.969
7 Pr 0.750 0.073 0.927
8 Nd 0.250 0.443 0.557
9 Dy 0.563 0.197 0.300
10 Tb 0.067 0.725 0.415
11 Dy 0.937 0.700 0.803
12 Pr 0.250 0.927 0.073
13 Tb 0.320 0.031 0.480
14 Tb 0.094 0.058 0.781
15 Tb 0.406 0.219 0.942
16 Tb 0.680 0.969 0.520
17 Dy 0.063 0.300 0.197
18 Tb 0.594 0.781 0.058
19 Dy 0.437 0.803 0.700
20 Tb 0.567 0.415 0.725

Values from the calculation:
ΔH_f (0 K) = 0.124 eV per atom
DOS at the Fermi energy = 25.08 states/eV/cell
space group = C2/c, No. 15
total moment = 0.00 μB/cell
theoretical density = 7.88 g/cm³


15.
Compound: TbPr6Nd2Dy3
Source: Alexandria
Functional: PBE
Structure: optimized geometry

Lattice parameters (Å, degrees): 6.347 6.347 12.025 95.04 95.04 120.01
Fractional positions:
1 Pr 0.583 0.916 0.747
2 Nd 0.333 0.667 0.000
3 Dy 0.167 0.833 0.500
4 Nd 0.667 0.333 0.000
5 Pr 0.417 0.084 0.253
6 Pr 0.248 0.248 0.747
7 Pr 0.916 0.583 0.747
8 Pr 0.752 0.752 0.253
9 Tb 0.000 0.000 0.000
10 Pr 0.084 0.417 0.253
11 Dy 0.833 0.167 0.500
12 Dy 0.500 0.500 0.500

Values from the calculation:
ΔH_f (0 K) = 0.013 eV per atom
DOS at the Fermi energy = 15.33 states/eV/cell
space group = C2/m, No. 12
total moment = 0.00 μB/cell
theoretical density = 7.16 g/cm³


16.
Compound: TbPr2Nd2Dy2
Source: Alexandria
Functional: PBE
Structure: optimized geometry

Lattice parameters (Å, degrees): 5.783 5.783 8.892 71.03 71.03 60.00
Fractional positions:
1 Pr 0.139 0.139 0.584
2 Nd 0.283 0.283 0.152
3 Dy 0.573 0.573 0.282
4 Tb 0.000 0.000 0.000
5 Nd 0.717 0.717 0.848
6 Dy 0.427 0.427 0.718
7 Pr 0.861 0.861 0.416

Values from the calculation:
ΔH_f (0 K) = 0.128 eV per atom
DOS at the Fermi energy = 15.92 states/eV/cell
space group = R-3m, No. 166
total moment = 0.00 μB/cell
theoretical density = 7.33 g/cm³


17.
Compound: Tb3PrNd6Dy2
Source: Alexandria
Functional: PBE
Structure: optimized geometry

Lattice parameters (Å, degrees): 6.301 6.301 11.978 95.02 95.02 119.99
Fractional positions:
1 Nd 0.419 0.084 0.251
2 Nd 0.250 0.250 0.749
3 Tb 0.833 0.167 0.500
4 Nd 0.084 0.419 0.251
5 Tb 0.500 0.500 0.500
6 Nd 0.916 0.581 0.749
7 Nd 0.581 0.916 0.749
8 Dy 0.667 0.333 0.000
9 Nd 0.750 0.750 0.251
10 Tb 0.167 0.833 0.500
11 Dy 0.333 0.667 0.000
12 Pr 0.000 0.000 0.000

Values from the calculation:
ΔH_f (0 K) = 0.013 eV per atom
DOS at the Fermi energy = 15.25 states/eV/cell
space group = C2/m, No. 12
total moment = 0.00 μB/cell
theoretical density = 7.40 g/cm³


18.
Compound: TbPrNd2Dy2
Source: Alexandria
Functional: PBE
Structure: optimized geometry

Lattice parameters (Å, degrees): 3.420 6.721 17.827 90.00 90.00 90.00
Fractional positions:
1 Pr 0.500 0.500 0.500
2 Nd 0.500 0.228 0.653
3 Pr 0.000 0.000 0.000
4 Dy 0.500 0.733 0.678
5 Tb 0.000 0.000 0.500
6 Dy 0.500 0.267 0.322
7 Nd 0.500 0.772 0.347
8 Dy 0.000 0.767 0.178
9 Nd 0.000 0.272 0.153
10 Tb 0.500 0.500 0.000
11 Nd 0.000 0.728 0.847
12 Dy 0.000 0.233 0.822

Values from the calculation:
ΔH_f (0 K) = 0.259 eV per atom
DOS at the Fermi energy = 19.49 states/eV/cell
space group = Pnnm, No. 58
total moment = 0.00 μB/cell
theoretical density = 7.40 g/cm³


19.
Compound: Tb2Pr4NdDy
Source: Alexandria
Functional: PBE
Structure: optimized geometry

Lattice parameters (Å, degrees): 3.667 6.324 12.036 79.74 90.00 90.00
Fractional positions:
1 Dy 0.000 0.500 0.500
2 Tb 0.500 0.000 0.500
3 Pr 0.500 0.250 0.749
4 Tb 0.000 0.000 0.000
5 Pr 0.000 0.249 0.253
6 Pr 0.500 0.750 0.251
7 Nd 0.500 0.500 0.000
8 Pr 0.000 0.751 0.747

Values from the calculation:
ΔH_f (0 K) = 0.015 eV per atom
DOS at the Fermi energy = 11.19 states/eV/cell
space group = P2/m, No. 10
total moment = 0.00 μB/cell
theoretical density = 7.19 g/cm³


20.
Compound: Tb2PrNd2Dy2
Source: Alexandria
Functional: PBE
Structure: optimized geometry

Lattice parameters (Å, degrees): 3.553 6.177 11.947 71.76 90.00 106.72
Fractional positions:
1 Dy 0.776 0.551 0.362
2 Nd 0.671 0.341 0.917
3 Tb 0.551 0.102 0.228
4 Tb 0.449 0.898 0.772
5 Dy 0.224 0.449 0.638
6 Nd 0.329 0.659 0.083
7 Pr 0.000 0.000 0.500

Values from the calculation:
ΔH_f (0 K) = 0.087 eV per atom
DOS at the Fermi energy = 12.29 states/eV/cell
space group = C2/m, No. 12
total moment = 0.00 μB/cell
theoretical density = 7.50 g/cm³